1.
Material: MnMo2Cl
Method: DFT, PBEsol
State: optimized geometry

Output
**Relative energy among the computed polymorphs**: 0.00 kJ per mole of atoms
**Uncorrected formation energy**: 0.683 eV/atom
**Volume**: 56.2 Å³/cell
**Crystal system**: monoclinic

Unit cell a=2.812 b=4.816 c=4.816 alpha=112.63 beta=101.40 gamma=101.40
Last column: magnetic moment on the atom in μB.
Element x y z (fractional)
Mo1 0.000 0.500 0.000  -0.32
Mo2 0.000 0.000 0.500  -0.32
Mn1 0.500 0.500 0.500  2.08
Cl1 0.500 0.000 0.000  0.01

=====

2.
Material: MgFeI3
Method: DFT, PBEsol
State: optimized geometry

Output
**Relative energy among the computed polymorphs**: 0.00 kJ per mole of atoms
**Uncorrected formation energy**: 0.062 eV/atom
**Volume**: 153.6 Å³/cell
**Crystal system**: cubic

Unit cell a=5.355 b=5.355 c=5.355 alpha=90.00 beta=90.00 gamma=90.00
Last column: magnetic moment on the atom in μB.
Element x y z (fractional)
I1 0.000 0.500 0.000  0.06
I2 0.000 0.000 0.500  0.06
I3 0.500 0.000 0.000  0.06
Mg1 0.500 0.500 0.500  -0.06
Fe1 0.000 0.000 0.000  2.91

=====

3.
Material: LiCuNi
Method: DFT, PBEsol
State: optimized geometry

Output
**Relative energy among the computed polymorphs**: 6.59 kJ per mole of atoms
**Volume**: 34.0 Å³/cell
**Crystal system**: tetragonal
**Formation energy**: 0.15 eV per formula unit

Unit cell a=2.448 b=2.448 c=5.931 alpha=101.91 beta=101.91 gamma=90.00
Element x y z (fractional)
Ni1 0.337 0.337 0.675
Cu1 0.992 0.992 0.985
Li1 0.670 0.670 0.341

=====

4.
Material: Sr3AlAg
Method: DFT, PBEsol
State: optimized geometry

Output
**Volume**: 229.7 Å³/cell
**Crystal system**: cubic
**Formation energy**: 1.59 eV per formula unit

Unit cell a=6.124 b=6.124 c=6.124 alpha=90.00 beta=90.00 gamma=90.00
Element x y z (fractional)
Sr1 0.000 0.500 0.000
Sr2 0.000 0.000 0.500
Sr3 0.500 0.000 0.000
Al1 0.000 0.000 0.000
Ag1 0.500 0.500 0.500

=====

5.
Material: Na2Sn2Au
Method: DFT, PBEsol
State: optimized geometry

Output
**Volume**: 251.3 Å³/cell
**Crystal system**: tetragonal
**Formation energy**: -1.23 eV per formula unit

Unit cell a=5.094 b=7.025 c=7.025 alpha=90.00 beta=90.00 gamma=90.00
Element x y z (fractional)
Na1 0.500 0.170 0.670
Na2 0.500 0.670 0.830
Na3 0.500 0.830 0.330
Na4 0.500 0.330 0.170
Au1 0.000 0.000 0.000
Au2 0.000 0.500 0.500
Sn1 0.000 0.358 0.858
Sn2 0.000 0.858 0.642
Sn3 0.000 0.642 0.142
Sn4 0.000 0.142 0.358

=====

6.
Material: ZnAs2Rh
Method: DFT, PBEsol
State: optimized geometry

Output
**Volume**: 65.5 Å³/cell
**Crystal system**: trigonal
**Formation energy**: -0.13 eV per formula unit

Unit cell a=2.936 b=2.936 c=8.937 alpha=80.55 beta=80.55 gamma=60.00
Element x y z (fractional)
As1 0.993 0.993 0.020
As2 0.765 0.765 0.704
Rh1 0.499 0.499 0.502
Zn1 0.242 0.242 0.274

=====

7.
Material: YSc2Ta
Method: DFT, PBEsol
State: optimized geometry

Output
**Relative energy among the computed polymorphs**: 0.00 kJ per mole of atoms
**Volume**: 90.9 Å³/cell
**Crystal system**: trigonal
**Formation energy**: 0.84 eV per formula unit

Unit cell a=3.148 b=3.148 c=10.744 alpha=81.57 beta=81.57 gamma=60.00
Element x y z (fractional)
Sc1 0.241 0.241 0.276
Sc2 0.759 0.759 0.724
Ta1 0.500 0.500 0.500
Y1 0.000 0.000 0.000

=====

8.
Material: Sr3AlCd
Method: DFT, PBEsol
State: optimized geometry

Output
**Volume**: 225.4 Å³/cell
**Crystal system**: cubic
**Formation energy**: 1.62 eV per formula unit

Unit cell a=6.086 b=6.086 c=6.086 alpha=90.00 beta=90.00 gamma=90.00
Element x y z (fractional)
Sr1 0.000 0.500 0.000
Sr2 0.000 0.000 0.500
Sr3 0.500 0.000 0.000
Al1 0.500 0.500 0.500
Cd1 0.000 0.000 0.000